Material: GaCoPdPt
Method: DFT, GGA-PBE
State: relaxed

a = 4.3270 Å, b = 4.3270 Å, c = 4.3270 Å
α = 60.00°, β = 60.00°, γ = 60.00°
Last column: nearest neighbours and their distance in Å.
Sites, in units of the cell vectors:
Ga 0.0000 0.0000 0.0000  4 Co 2.65, 4 Pt 2.65
Pt 0.2500 0.2500 0.2500  4 Pd 2.65, 4 Ga 2.65
Pd 0.5000 0.5000 0.5000  4 Co 2.65, 4 Pt 2.65
Co 0.7500 0.7500 0.7500  4 Pd 2.65, 4 Ga 2.65

ΔE to the lowest computed polymorph = 0.00 eV per formula unit
Uncorrected energy = -5.52 eV/atom